No. 1
Entry from Alexandria: crystalline BeAl2In at its relaxed geometry (PBE).

abc: 5.220 5.220 5.220
angles: 135.60 135.60 64.60
Fractional coordinates of all 4 atoms:
Be1 0.000 0.000 0.000
Al1 0.250 0.750 0.500
Al2 0.750 0.250 0.500
In1 0.500 0.500 0.000

Output
final energy	-12.5	eV per cell
DFT formation energy	358	meV/atom
total moment	0.0	μB per formula unit

---

No. 2
Entry from Alexandria: crystalline BeAl2In at its relaxed geometry (PBE).

abc: 3.871 4.160 4.244
angles: 90.00 90.00 90.00
Fractional coordinates of all 4 atoms:
Be1 0.000 0.000 0.000
Al1 0.000 0.500 0.500
Al2 0.500 0.000 0.500
In1 0.500 0.500 0.000

Output
final energy	-12.5	eV per cell
DFT formation energy	362	meV/atom
total moment	0.0	μB per formula unit

---

No. 3
Entry from Alexandria: crystalline BeAl2In at its relaxed geometry (PBE).

abc: 2.859 3.748 6.733
angles: 90.00 101.89 90.00
Fractional coordinates of all 4 atoms:
Be1 0.000 0.000 0.000
Al1 0.434 0.500 0.869
Al2 0.812 0.000 0.617
In1 0.168 0.500 0.310

Output
final energy	-12.8	eV per cell
DFT formation energy	277	meV/atom
total moment	0.0	μB per formula unit

---

Q: The lowest final energy belongs to which entry?
A: number 3

---

Q: total moment of number 1 (BeAl2In)?
A: 0.0 μB per formula unit

---

Copy entry 2 word for word.
Entry from Alexandria: crystalline BeAl2In at its relaxed geometry (PBE).

abc: 3.871 4.160 4.244
angles: 90.00 90.00 90.00
Fractional coordinates of all 4 atoms:
Be1 0.000 0.000 0.000
Al1 0.000 0.500 0.500
Al2 0.500 0.000 0.500
In1 0.500 0.500 0.000

Output
final energy	-12.5	eV per cell
DFT formation energy	362	meV/atom
total moment	0.0	μB per formula unit